Computed, not measured: an optimized crystal structure of NaLiReF6 at the GGA-PBE level of DFT.

Unit cell a=5.340 b=5.340 c=9.884 alpha=90.00 beta=90.00 gamma=120.00
Fractional positions:
Na (0.000, 0.000, 0.000)
Na (0.000, 0.000, 0.500)
Li (0.333, 0.667, 0.250)
Li (0.667, 0.333, 0.750)
Re (0.333, 0.667, 0.750)
Re (0.667, 0.333, 0.250)
F (0.012, 0.361, 0.641)
F (0.012, 0.651, 0.859)
F (0.349, 0.361, 0.859)
F (0.349, 0.988, 0.641)
F (0.361, 0.012, 0.141)
F (0.361, 0.349, 0.359)
F (0.639, 0.651, 0.641)
F (0.639, 0.988, 0.859)
F (0.651, 0.012, 0.359)
F (0.651, 0.639, 0.141)
F (0.988, 0.349, 0.141)
F (0.988, 0.639, 0.359)

Values from the calculation:
- Formation energy (no corrections): -2.46 eV/atom
- Uncorrected energy: -5.4487 eV/atom